Record 1
Computed, not measured: Rb5V3O10 at its PBEsol-relaxed geometry at the SCAN level of DFT.

Results
As for the crystal system: tetragonal. Its symmetry is No. 92. Its density is 3.6 g/cm³. Its uncorrected formation energy is -2.5039 eV/atom.

a b c (Å): 8.3748 8.3748 19.4083
angles (deg): 90.00 90.00 90.00
Last column: nearest neighbours and their distance in Å.
Fractional positions:
Rb1 0.0026 0.0257 0.1102  5 O 2.76-3.07
Rb2 0.0117 0.4757 0.8655  7 O 2.84-3.17
Rb3 0.0243 0.5117 0.1155  7 O 2.84-3.17
Rb4 0.0257 0.0026 0.8898  5 O 2.76-3.07
Rb5 0.2419 0.2419 0.5000  6 O 2.80-2.86
Rb6 0.2581 0.7419 0.7500  6 O 2.80-2.86
Rb7 0.4743 0.5026 0.3602  5 O 2.76-3.07
Rb8 0.4757 0.0117 0.1345  7 O 2.84-3.17
Rb9 0.4883 0.9757 0.3845  7 O 2.84-3.17
Rb10 0.4974 0.5257 0.1398  5 O 2.76-3.07
Rb11 0.5026 0.4743 0.6398  5 O 2.76-3.07
Rb12 0.5117 0.0243 0.8845  7 O 2.84-3.17
Rb13 0.5243 0.9883 0.6345  7 O 2.84-3.17
Rb14 0.5257 0.4974 0.8602  5 O 2.76-3.07
Rb15 0.7419 0.2581 0.2500  6 O 2.80-2.86
Rb16 0.7581 0.7581 0.0000  6 O 2.80-2.86
Rb17 0.9743 0.9974 0.3898  5 O 2.76-3.07
Rb18 0.9757 0.4883 0.6155  7 O 2.84-3.17
Rb19 0.9883 0.5243 0.3655  7 O 2.84-3.17
Rb20 0.9974 0.9743 0.6102  5 O 2.76-3.07
V1 0.1850 0.8150 0.2500  4 O 1.66-1.77
V2 0.2306 0.2338 0.2687  4 O 1.68-1.83
V3 0.2338 0.2306 0.7313  4 O 1.68-1.83
V4 0.2662 0.7306 0.5187  4 O 1.68-1.83
V5 0.2694 0.7338 0.9813  4 O 1.68-1.83
V6 0.3150 0.3150 0.0000  4 O 1.66-1.77
V7 0.6850 0.6850 0.5000  4 O 1.66-1.77
V8 0.7306 0.2662 0.4813  4 O 1.68-1.83
V9 0.7338 0.2694 0.0187  4 O 1.68-1.83
V10 0.7662 0.7694 0.2313  4 O 1.68-1.83
V11 0.7694 0.7662 0.7687  4 O 1.68-1.83
V12 0.8150 0.1850 0.7500  4 O 1.66-1.77
O1 0.0238 0.2164 0.7574  2 V 1.77-1.83
O2 0.0704 0.3321 0.2381  1 V 1.68
O3 0.0957 0.8066 0.0116  1 V 1.68
O4 0.1679 0.5704 0.4881  1 V 1.68
O5 0.1934 0.9043 0.4884  1 V 1.68
O6 0.2164 0.0238 0.2426  2 V 1.77-1.83
O7 0.2309 0.2440 0.9290  1 V 1.66
O8 0.2312 0.2460 0.3558  1 V 1.69
O9 0.2440 0.2309 0.0710  1 V 1.66
O10 0.2460 0.2312 0.6442  1 V 1.69
O11 0.2540 0.7312 0.6058  1 V 1.69
O12 0.2560 0.7309 0.1790  1 V 1.66
O13 0.2691 0.7440 0.3210  1 V 1.66
O14 0.2688 0.7460 0.8942  1 V 1.69
O15 0.2836 0.5238 0.0074  2 V 1.77-1.83
O16 0.3066 0.4043 0.7616  1 V 1.68
O17 0.3321 0.0704 0.7619  1 V 1.68
O18 0.4043 0.3066 0.2384  1 V 1.68
O19 0.4296 0.8321 0.0119  1 V 1.68
O20 0.4762 0.7164 0.4926  2 V 1.77-1.83
O21 0.5238 0.2836 0.9926  2 V 1.77-1.83
O22 0.5704 0.1679 0.5119  1 V 1.68
O23 0.5957 0.6934 0.7384  1 V 1.68
O24 0.6679 0.9296 0.2619  1 V 1.68
O25 0.6934 0.5957 0.2616  1 V 1.68
O26 0.7164 0.4762 0.5074  2 V 1.77-1.83
O27 0.7312 0.2540 0.3942  1 V 1.69
O28 0.7309 0.2560 0.8210  1 V 1.66
O29 0.7440 0.2691 0.6790  1 V 1.66
O30 0.7460 0.2688 0.1058  1 V 1.69
O31 0.7540 0.7688 0.1442  1 V 1.69
O32 0.7560 0.7691 0.5710  1 V 1.66
O33 0.7688 0.7540 0.8558  1 V 1.69
O34 0.7691 0.7560 0.4290  1 V 1.66
O35 0.7836 0.9762 0.7426  2 V 1.77-1.83
O36 0.8066 0.0957 0.9884  1 V 1.68
O37 0.8321 0.4296 0.9881  1 V 1.68
O38 0.9043 0.1934 0.5116  1 V 1.68
O39 0.9296 0.6679 0.7381  1 V 1.68
O40 0.9762 0.7836 0.2574  2 V 1.77-1.83

Record 2
Computed, not measured: RbV4O10 at its PBEsol-relaxed geometry at the SCAN level of DFT.

Results
As for the crystal system: monoclinic. Its symmetry is No. 12. Its density is 3.7 g/cm³. Its uncorrected formation energy is -2.5537 eV/atom.

a b c (Å): 5.9669 5.9669 9.8478
angles (deg): 99.86 99.86 35.83
Last column: nearest neighbours and their distance in Å.
Fractional positions:
Rb1 0.0000 0.0000 0.0000  8 O 2.93-2.95
V1 0.2931 0.2931 0.6576  1 O 1.60
V2 0.4075 0.4075 0.3456  1 O 1.61
V3 0.5925 0.5925 0.6544  1 O 1.61
V4 0.7069 0.7069 0.3424  1 O 1.60
O1 0.1166 0.1166 0.6232  3 V 1.89-1.97
O2 0.2394 0.2394 0.3844  3 V 1.90-2.01
O3 0.3371 0.3371 0.8215  1 V 1.60
O4 0.3999 0.3999 0.1810  1 V 1.61
O5 0.4327 0.4327 0.5941  2 V 1.80-1.81
O6 0.5673 0.5673 0.4059  2 V 1.80-1.81
O7 0.6001 0.6001 0.8190  1 V 1.61
O8 0.6629 0.6629 0.1785  1 V 1.60
O9 0.7606 0.7606 0.6156  3 V 1.90-2.01
O10 0.8834 0.8834 0.3768  3 V 1.89-1.97

Record 3
Computed, not measured: Rb2W2O at its PBEsol-relaxed geometry at the SCAN level of DFT.

Results
As for the crystal system: tetragonal. Its symmetry is No. 139. Its density is 7.1 g/cm³. Its uncorrected formation energy is 0.5278 eV/atom.

a b c (Å): 10.9000 10.9000 10.9000
angles (deg): 161.56 161.56 26.19
Last column: nearest neighbours and their distance in Å.
Fractional positions:
Rb1 0.0740 0.0740 0.0000  4 O 2.93, 1 Rb 3.14
Rb2 0.9260 0.9260 0.0000  4 O 2.93, 1 Rb 3.14
W1 0.2500 0.7500 0.5000  4 W 2.47
W2 0.7500 0.2500 0.5000  4 W 2.47
O1 0.5000 0.5000 0.0000  8 Rb 2.93

Record 4
Computed, not measured: Rb2W2O7 at its PBEsol-relaxed geometry at the SCAN level of DFT.

Results
As for the crystal system: monoclinic. Its symmetry is No. 14. Its density is 6.4 g/cm³. Its uncorrected formation energy is -2.3425 eV/atom.

a b c (Å): 3.9047 14.2067 6.0891
angles (deg): 90.00 90.37 90.00
Last column: nearest neighbours and their distance in Å.
Fractional positions:
Rb1 0.0096 0.1710 0.3315  6 O 2.77-3.00
Rb2 0.0096 0.3290 0.8315  6 O 2.77-3.00
Rb3 0.9904 0.6710 0.1685  6 O 2.77-3.00
Rb4 0.9904 0.8290 0.6685  6 O 2.77-3.00
W1 0.4547 0.5619 0.7159  4 O 1.78-1.95
W2 0.4547 0.9381 0.2159  4 O 1.78-1.95
W3 0.5453 0.0619 0.7841  4 O 1.78-1.95
W4 0.5453 0.4381 0.2841  4 O 1.78-1.95
O1 0.0111 0.0523 0.7767  1 W 1.82
O2 0.0111 0.4477 0.2767  1 W 1.82
O3 0.4952 0.5786 0.4119  1 W 1.87
O4 0.4952 0.9214 0.9119  1 W 1.87
O5 0.4970 0.6809 0.8044  1 W 1.78
O6 0.4970 0.8191 0.3044  1 W 1.78
O7 0.5000 0.0000 0.5000  2 W 1.95
O8 0.5000 0.5000 0.0000  2 W 1.95
O9 0.5030 0.1809 0.6956  1 W 1.78
O10 0.5030 0.3191 0.1956  1 W 1.78
O11 0.5048 0.0786 0.0881  1 W 1.87
O12 0.5048 0.4214 0.5881  1 W 1.87
O13 0.9889 0.5523 0.7233  1 W 1.82
O14 0.9889 0.9477 0.2233  1 W 1.82

Record 5
Computed, not measured: RbW4O12 at its PBEsol-relaxed geometry at the SCAN level of DFT.

Results
As for the crystal system: orthorhombic. Its symmetry is No. 71. Its density is 6.9 g/cm³. Its uncorrected formation energy is -2.2929 eV/atom.

a b c (Å): 10.6396 10.6396 10.6396
angles (deg): 139.19 105.71 88.42
Last column: nearest neighbours and their distance in Å.
Fractional positions:
Rb1 0.0000 0.0000 0.0000  18 O 3.32-3.71
Rb2 0.2892 0.2892 0.0000  6 O 3.03
Rb3 0.7108 0.7108 0.0000  6 O 3.03
W1 0.1250 0.1250 0.4997  6 O 1.90-1.92
W2 0.1250 0.6252 0.0000  6 O 1.90-1.92
W3 0.1253 0.6253 0.5000  6 O 1.90-1.92
W4 0.3747 0.3748 0.4997  6 O 1.90-1.92
W5 0.3747 0.8750 0.0000  6 O 1.90-1.92
W6 0.3755 0.8755 0.5000  6 O 1.90-1.92
W7 0.6245 0.1245 0.5000  6 O 1.90-1.92
W8 0.6253 0.1250 0.0000  6 O 1.90-1.92
W9 0.6253 0.6252 0.5003  6 O 1.90-1.92
W10 0.8750 0.3748 0.0000  6 O 1.90-1.92
W11 0.8747 0.3747 0.5000  6 O 1.90-1.92
W12 0.8750 0.8750 0.5003  6 O 1.90-1.92
O1 0.0000 0.0000 0.5000  2 W 1.91
O2 0.0000 0.5000 0.0000  2 W 1.91
O3 0.0000 0.5000 0.5000  2 W 1.91
O4 0.0187 0.4428 0.2122  2 W 1.92
O5 0.0187 0.8066 0.5759  2 W 1.92
O6 0.0869 0.8753 0.2117  2 W 1.92
O7 0.1610 0.3743 0.7867  2 W 1.92
O8 0.2306 0.4428 0.4241  2 W 1.92
O9 0.2306 0.8066 0.7878  2 W 1.92
O10 0.2496 0.2494 0.4990  2 W 1.90
O11 0.2499 0.7499 0.5000  2 W 1.90-1.92
O12 0.2496 0.7506 0.0002  2 W 1.90
O13 0.2677 0.0549 0.5740  2 W 1.91-1.92
O14 0.2677 0.6937 0.2128  2 W 1.91-1.92
O15 0.3364 0.1247 0.2117  2 W 1.92
O16 0.4124 0.6257 0.7867  2 W 1.92
O17 0.4809 0.0549 0.7872  2 W 1.91-1.92
O18 0.4809 0.6937 0.4260  2 W 1.91-1.92
O19 0.5000 0.0000 0.0000  2 W 1.91
O20 0.5000 0.0000 0.5000  2 W 1.90
O21 0.5000 0.5000 0.5000  2 W 1.91
O22 0.5191 0.3063 0.5740  2 W 1.91-1.92
O23 0.5191 0.9451 0.2128  2 W 1.91-1.92
O24 0.5876 0.3743 0.2133  2 W 1.92
O25 0.6636 0.8753 0.7883  2 W 1.92
O26 0.7323 0.3063 0.7872  2 W 1.91-1.92
O27 0.7323 0.9451 0.4260  2 W 1.91-1.92
O28 0.7504 0.2494 0.9998  2 W 1.90
O29 0.7501 0.2501 0.5000  2 W 1.90-1.92
O30 0.7504 0.7506 0.5010  2 W 1.90
O31 0.7694 0.1934 0.2122  2 W 1.92
O32 0.7694 0.5572 0.5759  2 W 1.92
O33 0.8390 0.6257 0.2133  2 W 1.92
O34 0.9131 0.1247 0.7883  2 W 1.92
O35 0.9813 0.1934 0.4241  2 W 1.92
O36 0.9813 0.5572 0.7878  2 W 1.92

Record 6
Computed, not measured: RbYW2O8 at its PBEsol-relaxed geometry at the SCAN level of DFT.

Results
As for the crystal system: monoclinic. Its symmetry is No. 15. Its density is 7.0 g/cm³. Its uncorrected formation energy is -2.7451 eV/atom.

a b c (Å): 7.4752 7.4752 7.4753
angles (deg): 117.61 117.61 88.87
Last column: nearest neighbours and their distance in Å.
Fractional positions:
Rb1 0.2007 0.7993 0.7500  10 O 2.86-3.08
Rb2 0.7993 0.2007 0.2500  10 O 2.86-3.08
Y1 0.2277 0.7723 0.2500  6 O 2.26-2.32
Y2 0.7723 0.2277 0.7500  6 O 2.26-2.32
W1 0.3011 0.3068 0.2711  4 O 1.80-1.98
W2 0.3068 0.3011 0.7711  4 O 1.80-1.98
W3 0.6932 0.6989 0.2289  4 O 1.80-1.98
W4 0.6989 0.6932 0.7289  4 O 1.80-1.98
O1 0.0445 0.2126 0.6925  1 W 1.80
O2 0.0628 0.3789 0.1253  1 W 1.83
O3 0.2126 0.0445 0.1925  1 W 1.80
O4 0.2415 0.3792 0.5565  1 W 1.81
O5 0.3699 0.5876 0.0312  2 W 1.98-2.08
O6 0.3789 0.0628 0.6253  1 W 1.83
O7 0.3792 0.2415 0.0565  1 W 1.81
O8 0.4124 0.6301 0.4688  2 W 1.98-2.08
O9 0.5876 0.3699 0.5312  2 W 1.98-2.08
O10 0.6208 0.7585 0.9435  1 W 1.81
O11 0.6211 0.9372 0.3747  1 W 1.83
O12 0.6301 0.4124 0.9688  2 W 1.98-2.08
O13 0.7585 0.6208 0.4435  1 W 1.81
O14 0.7874 0.9555 0.8075  1 W 1.80
O15 0.9372 0.6211 0.8747  1 W 1.83
O16 0.9555 0.7874 0.3075  1 W 1.80

Record 7
Computed, not measured: RbYO3 at its PBEsol-relaxed geometry at the SCAN level of DFT.

Results
As for the crystal system: cubic. Its symmetry is No. 221. Its density is 4.2 g/cm³. Its uncorrected formation energy is -2.0621 eV/atom.

a b c (Å): 4.4430 4.4430 4.4430
angles (deg): 90.00 90.00 90.00
Last column: nearest neighbours and their distance in Å.
Fractional positions:
Rb1 0.0000 0.0000 0.0000  12 O 3.14
Y1 0.5000 0.5000 0.5000  6 O 2.22
O1 0.0000 0.5000 0.5000  2 Y 2.22
O2 0.5000 0.0000 0.5000  2 Y 2.22
O3 0.5000 0.5000 0.0000  2 Y 2.22

Record 8
Computed, not measured: RbZnO2 at its PBEsol-relaxed geometry at the SCAN level of DFT.

Results
As for the crystal system: tetragonal. Its symmetry is No. 122. Its density is 4.8 g/cm³. Its uncorrected formation energy is -1.2313 eV/atom.

a b c (Å): 5.5244 5.5244 5.5244
angles (deg): 113.86 113.86 101.01
Last column: nearest neighbours and their distance in Å.
Fractional positions:
Rb1 0.0000 0.0000 0.0000  8 O 2.86-3.13
Rb2 0.7500 0.2500 0.5000  8 O 2.86-3.13
Zn1 0.2500 0.7500 0.5000  4 O 1.90
Zn2 0.5000 0.5000 0.0000  4 O 1.90
O1 0.2515 0.1250 0.6265  2 Zn 1.90
O2 0.3750 0.7485 0.8735  2 Zn 1.90
O3 0.4985 0.6250 0.3735  2 Zn 1.90
O4 0.8750 0.5015 0.1265  2 Zn 1.90

Record 9
Computed, not measured: RbZn3O at its PBEsol-relaxed geometry at the SCAN level of DFT.

Results
As for the crystal system: cubic. Its symmetry is No. 221. Its density is 1.6 g/cm³. Its uncorrected formation energy is 1.2358 eV/atom.

a b c (Å): 6.7214 6.7214 6.7214
angles (deg): 90.00 90.00 90.00
Last column: nearest neighbours and their distance in Å.
Fractional positions:
Rb1 0.0000 0.0000 0.0000  6 Zn 3.36
Zn1 0.0000 0.0000 0.5000  2 Rb 3.36
Zn2 0.0000 0.5000 0.0000  2 Rb 3.36
Zn3 0.5000 0.0000 0.0000  2 Rb 3.36
O1 0.5000 0.5000 0.5000  12 Zn 4.75

Record 10
Computed, not measured: Rb2ZrO3 at its PBEsol-relaxed geometry at the SCAN level of DFT.

Results
As for the crystal system: orthorhombic. Its symmetry is No. 64. Its density is 3.9 g/cm³. Its uncorrected formation energy is -2.6052 eV/atom.

a b c (Å): 6.8948 6.8948 13.5149
angles (deg): 90.00 90.00 125.46
Last column: nearest neighbours and their distance in Å.
Fractional positions:
Rb1 0.0545 0.9455 0.8671  2 O 2.79-2.88
Rb2 0.1248 0.8752 0.4234  4 O 2.78-3.04
Rb3 0.3752 0.6248 0.9234  4 O 2.78-3.04
Rb4 0.4455 0.5545 0.3671  2 O 2.79-2.88
Rb5 0.5545 0.4455 0.6329  2 O 2.79-2.88
Rb6 0.6248 0.3752 0.0766  4 O 2.78-3.04
Rb7 0.8752 0.1248 0.5766  4 O 2.78-3.04
Rb8 0.9455 0.0545 0.1329  2 O 2.79-2.88
Zr1 0.2465 0.7535 0.6642  4 O 1.92-2.01
Zr2 0.2535 0.7465 0.1642  4 O 1.92-2.01
Zr3 0.7465 0.2535 0.8358  4 O 1.92-2.01
Zr4 0.7535 0.2465 0.3358  4 O 1.92-2.01
O1 0.0333 0.4667 0.7500  2 Zr 2.01
O2 0.0939 0.9061 0.6321  1 Zr 1.92
O3 0.1618 0.8382 0.0491  1 Zr 1.92
O4 0.3382 0.6618 0.5491  1 Zr 1.92
O5 0.4061 0.5939 0.1321  1 Zr 1.92
O6 0.4667 0.0333 0.2500  2 Zr 2.01
O7 0.5333 0.9667 0.7500  2 Zr 2.01
O8 0.5939 0.4061 0.8679  1 Zr 1.92
O9 0.6618 0.3382 0.4509  1 Zr 1.92
O10 0.8382 0.1618 0.9509  1 Zr 1.92
O11 0.9061 0.0939 0.3679  1 Zr 1.92
O12 0.9667 0.5333 0.2500  2 Zr 2.01

Record 11
Computed, not measured: Rb2ZrO3 at its PBEsol-relaxed geometry at the SCAN level of DFT.

Results
As for the crystal system: monoclinic. Its symmetry is No. 9. Its density is 4.1 g/cm³. Its uncorrected formation energy is -2.6623 eV/atom.

a b c (Å): 7.2529 7.2529 5.8275
angles (deg): 93.13 93.13 125.26
Last column: nearest neighbours and their distance in Å.
Fractional positions:
Rb1 0.0857 0.9143 0.5000  5 O 2.73-2.79
Rb2 0.3170 0.7953 0.0160  4 O 2.95-3.16
Rb3 0.7953 0.3170 0.5160  4 O 2.95-3.16
Rb4 0.9143 0.0857 0.0000  5 O 2.73-2.79
Zr1 0.4417 0.5465 0.4990  5 O 1.94-2.11
Zr2 0.5465 0.4417 0.9990  5 O 1.94-2.11
O1 0.2790 0.3235 0.7539  2 Zr 2.05-2.11
O2 0.2791 0.6842 0.4978  1 Zr 1.94
O3 0.3235 0.2790 0.2539  2 Zr 2.05-2.11
O4 0.6650 0.7115 0.2453  2 Zr 2.06-2.11
O5 0.6842 0.2791 0.9978  1 Zr 1.94
O6 0.7115 0.6650 0.7453  2 Zr 2.06-2.11

Record 12
Computed, not measured: Rb2Zr2O5 at its PBEsol-relaxed geometry at the SCAN level of DFT.

Results
As for the crystal system: tetragonal. Its symmetry is No. 123. Its density is 4.9 g/cm³. Its uncorrected formation energy is -2.9653 eV/atom.

a b c (Å): 4.0553 4.0553 9.0054
angles (deg): 90.00 90.00 90.00
Last column: nearest neighbours and their distance in Å.
Fractional positions:
Rb1 0.0000 0.0000 0.0000  12 O 2.87-3.16
Rb2 0.0000 0.0000 0.5000  8 O 2.91
Zr1 0.5000 0.5000 0.2230  5 O 2.01-2.07
Zr2 0.5000 0.5000 0.7770  5 O 2.01-2.07
O1 0.0000 0.5000 0.2688  2 Zr 2.07
O2 0.0000 0.5000 0.7312  2 Zr 2.07
O3 0.5000 0.0000 0.2688  2 Zr 2.07
O4 0.5000 0.0000 0.7312  2 Zr 2.07
O5 0.5000 0.5000 0.0000  2 Zr 2.01